ThCu4Os | GGA-PBE | relaxed

Results
Formation energy from the elements, eV/f.u.: 0.0
Symmetry: No. 216

a = 5.0495 Å, b = 5.0495 Å, c = 5.0495 Å
α = 60.00°, β = 60.00°, γ = 60.00°
Fractional coordinates of all 6 atoms:
Th: 0.0000 0.0000 0.0000
Cu: 0.1304 0.6232 0.6232
Cu: 0.6232 0.1304 0.6232
Cu: 0.6232 0.6232 0.1304
Cu: 0.6232 0.6232 0.6232
Os: 0.2500 0.2500 0.2500